Computed, not measured: La2TbNd3Y6 after structural relaxation at the PBE-GGA level of DFT.

Lattice parameters (Å, degrees): 6.297 6.297 11.920 95.04 95.04 120.00
Atoms (fractional coordinates):
La 0.166 0.834 0.000
La 0.834 0.166 0.000
Tb 0.500 0.500 0.000
Nd 0.000 0.000 0.500
Nd 0.333 0.667 0.500
Nd 0.667 0.333 0.500
Y 0.084 0.417 0.749
Y 0.251 0.251 0.251
Y 0.417 0.084 0.749
Y 0.583 0.916 0.251
Y 0.749 0.749 0.749
Y 0.916 0.583 0.251



Computed, not measured: La2Tb2Nd4Y after structural relaxation at the PBE-GGA level of DFT.

Lattice parameters (Å, degrees): 9.745 9.745 9.799 115.22 115.22 21.86
Atoms (fractional coordinates):
La 0.166 0.166 0.498
La 0.834 0.834 0.502
Tb 0.352 0.352 0.833
Tb 0.648 0.648 0.167
Nd 0.019 0.019 0.836
Nd 0.314 0.314 0.166
Nd 0.686 0.686 0.834
Nd 0.981 0.981 0.164
Y 0.500 0.500 0.500



Computed, not measured: La2Tb2Nd2Y after structural relaxation at the PBE-GGA level of DFT.

Lattice parameters (Å, degrees): 11.529 5.168 8.184 90.00 98.13 90.00
Atoms (fractional coordinates):
La 0.142 0.000 0.426
La 0.358 0.500 0.574
La 0.642 0.500 0.426
La 0.858 0.000 0.574
Tb 0.071 0.500 0.716
Tb 0.429 0.000 0.284
Tb 0.571 0.000 0.716
Tb 0.929 0.500 0.284
Nd 0.215 0.500 0.141
Nd 0.285 0.000 0.859
Nd 0.715 0.000 0.141
Nd 0.785 0.500 0.859
Y 0.000 0.000 0.000
Y 0.500 0.500 0.000



Computed, not measured: LaTb2Nd2Y after structural relaxation at the PBE-GGA level of DFT.

Lattice parameters (Å, degrees): 7.106 9.972 5.722 90.00 90.00 90.00
Atoms (fractional coordinates):
La 0.000 0.000 0.000
La 0.500 0.500 0.500
Tb 0.249 0.333 0.000
Tb 0.251 0.833 0.500
Tb 0.749 0.167 0.500
Tb 0.751 0.667 0.000
Nd 0.248 0.667 0.000
Nd 0.252 0.167 0.500
Nd 0.748 0.833 0.500
Nd 0.752 0.333 0.000
Y 0.000 0.500 0.500
Y 0.500 0.000 0.000



Computed, not measured: La2TbNd6Y after structural relaxation at the PBE-GGA level of DFT.

Lattice parameters (Å, degrees): 8.958 8.958 10.137 95.27 95.27 118.29
Atoms (fractional coordinates):
La 0.194 0.291 0.040
La 0.291 0.194 0.540
La 0.709 0.806 0.460
La 0.806 0.709 0.960
Tb 0.013 0.987 0.250
Tb 0.987 0.013 0.750
Nd 0.021 0.581 0.187
Nd 0.122 0.744 0.555
Nd 0.256 0.878 0.945
Nd 0.294 0.499 0.378
Nd 0.419 0.979 0.313
Nd 0.499 0.294 0.878
Nd 0.501 0.706 0.122
Nd 0.581 0.021 0.687
Nd 0.706 0.501 0.622
Nd 0.744 0.122 0.055
Nd 0.878 0.256 0.445
Nd 0.979 0.419 0.813
Y 0.405 0.595 0.750
Y 0.595 0.405 0.250



Computed, not measured: LaTb3NdY after structural relaxation at the PBE-GGA level of DFT.

Lattice parameters (Å, degrees): 10.367 10.367 7.099 90.44 90.44 32.06
Atoms (fractional coordinates):
La 0.145 0.145 0.028
La 0.855 0.855 0.972
Tb 0.022 0.022 0.739
Tb 0.280 0.280 0.757
Tb 0.336 0.336 0.270
Tb 0.664 0.664 0.730
Tb 0.720 0.720 0.243
Tb 0.978 0.978 0.261
Nd 0.448 0.448 0.737
Nd 0.552 0.552 0.263
Y 0.150 0.150 0.460
Y 0.850 0.850 0.540



Computed, not measured: La6TbNd2Y after structural relaxation at the PBE-GGA level of DFT.

Lattice parameters (Å, degrees): 9.154 9.154 9.334 90.75 90.75 114.54
Atoms (fractional coordinates):
La 0.037 0.475 0.680
La 0.069 0.782 0.902
La 0.218 0.931 0.598
La 0.274 0.577 0.089
La 0.423 0.726 0.411
La 0.475 0.037 0.180
La 0.525 0.963 0.820
La 0.577 0.274 0.589
La 0.726 0.423 0.911
La 0.782 0.069 0.402
La 0.931 0.218 0.098
La 0.963 0.525 0.320
Tb 0.436 0.564 0.750
Tb 0.564 0.436 0.250
Nd 0.207 0.296 0.437
Nd 0.296 0.207 0.937
Nd 0.704 0.793 0.063
Nd 0.793 0.704 0.563
Y 0.074 0.926 0.250
Y 0.926 0.074 0.750



Computed, not measured: LaTb2Nd3Y6 after structural relaxation at the PBE-GGA level of DFT.

Lattice parameters (Å, degrees): 6.266 6.266 11.910 95.01 95.01 119.98
Atoms (fractional coordinates):
La 0.000 0.000 0.000
Tb 0.333 0.667 0.000
Tb 0.667 0.333 0.000
Nd 0.167 0.833 0.500
Nd 0.500 0.500 0.500
Nd 0.833 0.167 0.500
Y 0.083 0.418 0.249
Y 0.251 0.251 0.751
Y 0.418 0.083 0.249
Y 0.582 0.917 0.751
Y 0.749 0.749 0.249
Y 0.917 0.582 0.751



Computed, not measured: LaTb2NdY2 after structural relaxation at the PBE-GGA level of DFT.

Lattice parameters (Å, degrees): 6.676 18.037 3.410 90.00 90.00 90.00
Atoms (fractional coordinates):
La 0.000 0.000 0.000
La 0.500 0.500 0.500
Tb 0.225 0.183 0.000
Tb 0.275 0.683 0.500
Tb 0.725 0.317 0.500
Tb 0.775 0.817 0.000
Nd 0.000 0.500 0.000
Nd 0.500 0.000 0.500
Y 0.222 0.348 0.500
Y 0.278 0.848 0.000
Y 0.722 0.152 0.000
Y 0.778 0.652 0.500



Computed, not measured: LaTb2Nd6Y after structural relaxation at the PBE-GGA level of DFT.

Lattice parameters (Å, degrees): 9.021 9.021 9.830 94.16 94.16 118.12
Atoms (fractional coordinates):
La 0.094 0.906 0.750
La 0.906 0.094 0.250
Tb 0.207 0.306 0.955
Tb 0.306 0.207 0.455
Tb 0.694 0.793 0.545
Tb 0.793 0.694 0.045
Nd 0.006 0.793 0.379
Nd 0.068 0.522 0.183
Nd 0.207 0.994 0.121
Nd 0.259 0.615 0.555
Nd 0.385 0.741 0.945
Nd 0.478 0.932 0.317
Nd 0.522 0.068 0.683
Nd 0.615 0.259 0.055
Nd 0.741 0.385 0.445
Nd 0.793 0.006 0.879
Nd 0.932 0.478 0.817
Nd 0.994 0.207 0.621
Y 0.472 0.528 0.250
Y 0.528 0.472 0.750



Computed, not measured: La2TbNd6Y3 after structural relaxation at the PBE-GGA level of DFT.

Lattice parameters (Å, degrees): 6.344 6.344 12.078 95.03 95.03 120.03
Atoms (fractional coordinates):
La 0.167 0.833 0.000
La 0.833 0.167 0.000
Tb 0.500 0.500 0.000
Nd 0.083 0.415 0.746
Nd 0.252 0.252 0.254
Nd 0.415 0.083 0.746
Nd 0.585 0.917 0.254
Nd 0.748 0.748 0.746
Nd 0.917 0.585 0.254
Y 0.000 0.000 0.500
Y 0.334 0.666 0.500
Y 0.666 0.334 0.500



Computed, not measured: LaTb2Nd2Y4 after structural relaxation at the PBE-GGA level of DFT.

Lattice parameters (Å, degrees): 9.635 9.635 9.675 115.24 115.24 21.80
Atoms (fractional coordinates):
La 0.000 0.000 0.000
Tb 0.148 0.148 0.664
Tb 0.852 0.852 0.336
Nd 0.333 0.333 0.000
Nd 0.667 0.667 0.000
Y 0.186 0.186 0.337
Y 0.481 0.481 0.662
Y 0.519 0.519 0.338
Y 0.814 0.814 0.663



Computed, not measured: La3TbNdY after structural relaxation at the PBE-GGA level of DFT.

Lattice parameters (Å, degrees): 8.154 5.233 10.443 90.00 108.72 90.00
Atoms (fractional coordinates):
La 0.168 0.250 0.043
La 0.170 0.250 0.541
La 0.170 0.750 0.791
La 0.830 0.250 0.209
La 0.830 0.750 0.459
La 0.832 0.750 0.957
Tb 0.500 0.250 0.377
Tb 0.500 0.750 0.623
Nd 0.170 0.750 0.293
Nd 0.830 0.250 0.707
Y 0.498 0.750 0.126
Y 0.502 0.250 0.874



Computed, not measured: LaTb5Nd2Y after structural relaxation at the PBE-GGA level of DFT.

Lattice parameters (Å, degrees): 10.005 10.005 10.005 127.79 127.79 76.97
Atoms (fractional coordinates):
La 0.250 0.250 0.000
La 0.750 0.750 0.000
Tb 0.000 0.000 0.000
Tb 0.073 0.573 0.919
Tb 0.154 0.073 0.500
Tb 0.346 0.846 0.919
Tb 0.427 0.346 0.500
Tb 0.500 0.500 0.000
Tb 0.573 0.654 0.500
Tb 0.654 0.154 0.081
Tb 0.846 0.927 0.500
Tb 0.927 0.427 0.081
Nd 0.117 0.383 0.500
Nd 0.383 0.883 0.265
Nd 0.617 0.117 0.735
Nd 0.883 0.617 0.500
Y 0.250 0.750 0.500
Y 0.750 0.250 0.500



Computed, not measured: LaTbNdY after structural relaxation at the PBE-GGA level of DFT.

Lattice parameters (Å, degrees): 5.161 5.161 10.288 90.00 90.00 90.00
Atoms (fractional coordinates):
La 0.000 0.000 0.000
La 0.500 0.500 0.500
Tb 0.000 0.500 0.250
Tb 0.500 0.000 0.750
Nd 0.000 0.500 0.750
Nd 0.500 0.000 0.250
Y 0.000 0.000 0.500
Y 0.500 0.500 0.000

- ΔE to the lowest computed polymorph: 0 kJ/mol of formula units



Computed, not measured: La2TbNdY5 after structural relaxation at the PBE-GGA level of DFT.

Lattice parameters (Å, degrees): 10.071 10.071 10.071 128.93 128.93 75.13
Atoms (fractional coordinates):
La 0.118 0.618 0.736
La 0.382 0.118 0.500
La 0.618 0.882 0.500
La 0.882 0.382 0.264
Tb 0.250 0.250 0.000
Tb 0.750 0.750 0.000
Nd 0.250 0.750 0.500
Nd 0.750 0.250 0.500
Y 0.000 0.000 0.000
Y 0.072 0.147 0.500
Y 0.147 0.647 0.075
Y 0.353 0.428 0.500
Y 0.428 0.928 0.075
Y 0.500 0.500 0.000
Y 0.572 0.072 0.925
Y 0.647 0.572 0.500
Y 0.853 0.353 0.925
Y 0.928 0.853 0.500



Computed, not measured: La6TbNdY2 after structural relaxation at the PBE-GGA level of DFT.

Lattice parameters (Å, degrees): 6.752 6.752 9.055 101.71 101.71 63.96
Atoms (fractional coordinates):
La 0.097 0.541 0.195
La 0.137 0.137 0.432
La 0.459 0.903 0.805
La 0.541 0.097 0.195
La 0.863 0.863 0.568
La 0.903 0.459 0.805
Tb 0.000 0.000 0.000
Nd 0.500 0.500 0.500
Y 0.411 0.411 0.837
Y 0.589 0.589 0.163



Computed, not measured: LaTb3Nd6Y2 after structural relaxation at the PBE-GGA level of DFT.

Lattice parameters (Å, degrees): 6.315 6.315 12.024 95.02 95.02 120.00
Atoms (fractional coordinates):
La 0.000 0.000 0.000
Tb 0.167 0.833 0.500
Tb 0.500 0.500 0.500
Tb 0.833 0.167 0.500
Nd 0.084 0.418 0.253
Nd 0.249 0.249 0.747
Nd 0.418 0.084 0.253
Nd 0.582 0.916 0.747
Nd 0.751 0.751 0.253
Nd 0.916 0.582 0.747
Y 0.334 0.666 0.000
Y 0.666 0.334 0.000



Computed, not measured: LaTbNd2Y after structural relaxation at the PBE-GGA level of DFT.

Lattice parameters (Å, degrees): 8.722 6.544 6.389 90.00 100.60 90.00
Atoms (fractional coordinates):
La 0.000 0.000 0.000
La 0.000 0.000 0.500
Tb 0.500 0.166 0.250
Tb 0.500 0.834 0.750
Nd 0.315 0.314 0.690
Nd 0.315 0.686 0.190
Nd 0.685 0.314 0.810
Nd 0.685 0.686 0.310
Y 0.000 0.450 0.250
Y 0.000 0.550 0.750



Computed, not measured: La2Tb6NdY3 after structural relaxation at the PBE-GGA level of DFT.

Lattice parameters (Å, degrees): 6.251 6.251 11.938 95.00 95.00 120.01
Atoms (fractional coordinates):
La 0.167 0.833 0.000
La 0.833 0.167 0.000
Tb 0.082 0.415 0.746
Tb 0.252 0.252 0.254
Tb 0.415 0.082 0.746
Tb 0.585 0.918 0.254
Tb 0.748 0.748 0.746
Tb 0.918 0.585 0.254
Nd 0.500 0.500 0.000
Y 0.000 0.000 0.500
Y 0.334 0.666 0.500
Y 0.666 0.334 0.500



no.,ΔH_f (0 K) (eV/atom)
1,0.01
2,0.01
3,0.02
4,0.05
5,0.11
6,0.19
7,0.11
8,0.01
9,0.28
10,0.11
11,0.02
12,0.00
13,0.03
14,0.26
15,0.03
16,0.23
17,0.19
18,0.01
19,0.28
20,0.02